No. 1
Density functional theory data (PBE) for a geometry-optimized Sr2AlPt structure.

Cell lengths 3.560, 3.560, 9.061 Å; angles 90.00, 90.00, 90.00 degrees
Atoms (fractional coordinates):
Pt1 0.500 0.500 0.677
Al1 0.000 0.000 0.578
Sr1 0.000 0.000 0.922
Sr2 0.500 0.500 0.323

Values from the calculation:
**D(E_F)**: 0.937 states/eV/atom
**Spin magnetization**: 0.00 μB per cell
**Energy of formation from the pure elements**: -1.76 eV per formula unit
**DFT total energy**: -3.726 eV/atom
**Crystal system**: tetragonal

---

No. 2
Density functional theory data (PBE) for a geometry-optimized SrAl2Pt structure.

Cell lengths 5.262, 6.001, 3.053 Å; angles 77.94, 84.06, 114.34 degrees
Atoms (fractional coordinates):
Al1 0.500 0.000 0.500
Al2 0.000 0.000 0.000
Pt1 0.000 0.500 0.500
Sr1 0.500 0.500 0.000

Values from the calculation:
**D(E_F)**: 0.496 states/eV/atom
**Spin magnetization**: 0.00 μB per cell
**Energy of formation from the pure elements**: -0.14 eV per formula unit
**DFT total energy**: -3.836 eV/atom
**Crystal system**: monoclinic

---

No. 3
Density functional theory data (PBE) for a geometry-optimized Sr2Al12Pt7 structure.

Cell lengths 4.178, 10.106, 10.106 Å; angles 120.00, 90.00, 90.00 degrees
Atoms (fractional coordinates):
Al1 0.000 0.045 0.510
Al2 0.500 0.386 0.312
Al3 0.000 0.465 0.955
Al4 0.000 0.806 0.722
Al5 0.500 0.543 0.751
Al6 0.000 0.278 0.084
Al7 0.500 0.208 0.457
Al8 0.500 0.249 0.792
Al9 0.000 0.916 0.194
Al10 0.500 0.925 0.614
Al11 0.000 0.490 0.535
Al12 0.500 0.688 0.075
Sr1 0.500 0.000 0.000
Sr2 0.000 0.667 0.333
Pt1 0.000 0.333 0.667
Pt2 0.500 0.654 0.573
Pt3 0.000 0.695 0.914
Pt4 0.000 0.219 0.305
Pt5 0.500 0.427 0.081
Pt6 0.000 0.086 0.781
Pt7 0.500 0.919 0.346

Values from the calculation:
**D(E_F)**: 0.284 states/eV/atom
**Spin magnetization**: 0.00 μB per cell
**Energy of formation from the pure elements**: -19.80 eV per formula unit
**DFT total energy**: -5.255 eV/atom
**Crystal system**: hexagonal

---

No. 4
Density functional theory data (PBE) for a geometry-optimized Sr4AlPt structure.

Cell lengths 6.620, 6.620, 6.620 Å; angles 60.00, 60.00, 60.00 degrees
Atoms (fractional coordinates):
Sr1 0.374 0.374 0.877
Sr2 0.374 0.374 0.374
Sr3 0.877 0.374 0.374
Sr4 0.374 0.877 0.374
Al1 0.750 0.750 0.750
Pt1 0.000 0.000 0.000

Values from the calculation:
**D(E_F)**: 1.087 states/eV/atom
**Spin magnetization**: 0.00 μB per cell
**Energy of formation from the pure elements**: 3.81 eV per formula unit
**DFT total energy**: -2.117 eV/atom
**Crystal system**: cubic

---

Question: What is the formula in the second record?
Answer: SrAl2Pt

---

Question: energy of formation from the pure elements of number 3 (Sr2Al12Pt7)?
Answer: -19.80 eV per formula unit